Below is a geometry-optimized PrEr5Th4 structure, with properties calculated at the PBE level.

Summary:
DOS at the Fermi energy in states/eV/f.u.: 15.735
Final energy in eV per formula unit: -56.69
ΔE_f in meV/atom: 58

Cell: 6.2265 6.8019 9.1971 Å, 70.98 89.98 62.76°
Fractional positions:
Pr (0.0000, 0.0000, 0.0000)
Er (0.2071, 0.5904, 0.4074)
Er (0.3337, 0.9989, 0.5006)
Er (0.5363, 0.5960, 0.9026)
Er (0.6074, 0.7906, 0.2056)
Er (0.9328, 0.7926, 0.7014)
Th (0.1480, 0.3835, 0.1097)
Th (0.3993, 0.2042, 0.7975)
Th (0.7289, 0.2036, 0.3017)
Th (0.8040, 0.3878, 0.6049)



Below is a geometry-optimized Pr4ErTh3 structure, with properties calculated at the PBE level.

Summary:
DOS at the Fermi energy in states/eV/f.u.: 11.798
Final energy in eV per formula unit: -45.66
ΔE_f in meV/atom: 35

Cell: 5.1037 10.2344 10.3851 Å, 90.00 90.00 90.00°
Fractional positions:
Pr (0.2500, 0.0001, 0.1364)
Pr (0.2500, 0.2500, 0.8607)
Pr (0.2500, 0.4999, 0.1364)
Pr (0.2500, 0.7500, 0.8673)
Pr (0.7500, 0.9999, 0.8636)
Pr (0.7500, 0.2500, 0.1327)
Pr (0.7500, 0.5001, 0.8636)
Pr (0.7500, 0.7500, 0.1393)
Er (0.2500, 0.2500, 0.3836)
Er (0.7500, 0.7500, 0.6164)
Th (0.2500, 0.0022, 0.6161)
Th (0.2500, 0.4978, 0.6161)
Th (0.2500, 0.7500, 0.3831)
Th (0.7500, 0.2500, 0.6169)
Th (0.7500, 0.5022, 0.3839)
Th (0.7500, 0.9978, 0.3839)



Below is a geometry-optimized PrEr2Th structure, with properties calculated at the PBE level.

Summary:
DOS at the Fermi energy in states/eV/f.u.: 6.832
Final energy in eV per formula unit: -20.76
Energy above the most stable polymorph in this dataset in eV per atom: 0.142
ΔE_f in meV/atom: 142

Cell: 3.5118 3.5118 37.1030 Å, 90.00 90.00 120.00°
Fractional positions:
Pr (0.0000, 0.0000, 0.0000)
Pr (0.3333, 0.6667, 0.6667)
Pr (0.6667, 0.3333, 0.3333)
Er (0.0000, 0.0000, 0.0922)
Er (0.0000, 0.0000, 0.9078)
Er (0.3333, 0.6667, 0.5744)
Er (0.3333, 0.6667, 0.7589)
Er (0.6667, 0.3333, 0.2411)
Er (0.6667, 0.3333, 0.4256)
Th (0.0000, 0.0000, 0.5000)
Th (0.3333, 0.6667, 0.1667)
Th (0.6667, 0.3333, 0.8333)



Q: What is the DOS at the Fermi energy in the first record?
A: 15.735 states/eV/f.u.



Q: Look up the ΔE_f of the third one.
A: 142 meV/atom



Q: Among the records above, which one has the highest final energy?
A: PrEr2Th



Q: What is the final energy in the first record?
A: -56.69 eV per formula unit